Compound: InReP2S
Source: Alexandria via LeMat-Bulk
Functional: PBE
Structure: relaxed

Properties
**Crystal system**: tetragonal
**E_form (uncorrected)**: 1.81 eV/f.u.
**Spin magnetization**: 0.203 μB/f.u.
**SG**: P4/mmm, No. 123
**Energy above the most stable polymorph in this dataset**: 0.000 eV/atom
**Calculated volume**: 109.4 Å³/cell

Geometry as extended XYZ:
```
5
Lattice="4.529 0.000 0.000 0.000 4.529 0.000 0.000 0.000 5.332" Properties=species:S:1:pos:R:3 pbc="T T T"
Re 0.000 0.000 0.000
S 0.000 0.000 2.666
P 0.000 2.265 0.000
P 2.265 0.000 0.000
In 2.265 2.265 2.666
```